Arrangement i

# Ag2HgTe

An optimized crystal structure of Ag2HgTe (GGA-PBE, Alexandria).

a b c (Å): 5.6751 5.6751 5.6751
angles (deg): 135.05 135.05 65.45
Closest atoms and distances in Å follow each position.
Fractional coordinates of all 4 atoms:
Te 0.7500 0.2500 0.5000  8 Ag 3.07-3.23, 4 Hg 3.23
Hg 0.5000 0.5000 0.0000  8 Ag 3.07-3.23, 4 Te 3.23
Ag 0.0000 0.0000 0.0000  4 Hg 3.07, 4 Ag 3.23, 4 Te 3.23
Ag 0.2500 0.7500 0.5000  4 Te 3.07, 4 Hg 3.23, 4 Ag 3.23

magnetic moment: 0.00 μB/cell

---

Arrangement ii

# Ag2HgTe

An optimized crystal structure of Ag2HgTe (GGA-PBE, Alexandria).

a b c (Å): 5.0594 5.0594 5.0594
angles (deg): 60.00 60.00 60.00
Closest atoms and distances in Å follow each position.
Fractional coordinates of all 4 atoms:
Te 0.0000 0.0000 0.0000  8 Ag 3.10
Hg 0.5000 0.5000 0.5000  8 Ag 3.10
Ag 0.2500 0.2500 0.2500  4 Hg 3.10, 4 Te 3.10
Ag 0.7500 0.7500 0.7500  4 Te 3.10, 4 Hg 3.10

magnetic moment: 0.00 μB/cell

---

Arrangement iii

# Ag2HgTe

An optimized crystal structure of Ag2HgTe (GGA-PBE, Alexandria).

a b c (Å): 4.0997 4.0997 5.7864
angles (deg): 90.00 90.00 90.00
Closest atoms and distances in Å follow each position.
Fractional coordinates of all 4 atoms:
Te 0.5000 0.5000 0.8180  6 Ag 2.81-2.99
Hg 0.0000 0.0000 0.4354  6 Ag 2.85-3.00
Ag 0.0000 0.0000 0.9430  2 Hg 2.85-2.94, 4 Te 2.99
Ag 0.5000 0.5000 0.3035  2 Te 2.81-2.98, 4 Hg 3.00

magnetic moment: 0.00 μB/cell

---

Energy ordering: arrangement iii at the bottom, the next structure 36 meV per atom above.

---

Arrangement i

# AgHgTe3

An optimized crystal structure of AgHgTe3 (GGA-PBE, Alexandria).

a b c (Å): 5.6390 5.6390 5.6390
angles (deg): 90.00 90.00 90.00
Closest atoms and distances in Å follow each position.
Fractional coordinates of all 5 atoms:
Te 0.0000 0.5000 0.0000  2 Hg 2.82
Te 0.0000 0.0000 0.5000  2 Hg 2.82
Te 0.5000 0.0000 0.0000  2 Hg 2.82
Hg 0.0000 0.0000 0.0000  6 Te 2.82
Ag 0.5000 0.5000 0.5000  12 Te 3.99

magnetic moment: 0.00 μB/cell

---

Arrangement ii

# AgHgTe3

An optimized crystal structure of AgHgTe3 (GGA-PBE, Alexandria).

a b c (Å): 5.4946 5.4946 5.4946
angles (deg): 90.00 90.00 90.00
Closest atoms and distances in Å follow each position.
Fractional coordinates of all 5 atoms:
Te 0.0000 0.5000 0.0000  2 Ag 2.75
Te 0.0000 0.0000 0.5000  2 Ag 2.75
Te 0.5000 0.0000 0.0000  2 Ag 2.75
Hg 0.5000 0.5000 0.5000  12 Te 3.89
Ag 0.0000 0.0000 0.0000  6 Te 2.75

magnetic moment: 0.00 μB/cell

---

Energy ordering: arrangement ii at the bottom, the next structure 212 meV per atom above.

---

Arrangement i

# Ag2HgTe2

An optimized crystal structure of Ag2HgTe2 (GGA-PBE, Alexandria).

a b c (Å): 6.3501 6.3501 6.3501
angles (deg): 130.35 130.35 72.85
Closest atoms and distances in Å follow each position.
Fractional coordinates of all 5 atoms:
Ag 0.2500 0.7500 0.5000  4 Te 2.90
Ag 0.7500 0.2500 0.5000  4 Te 2.90
Hg 0.0000 0.0000 0.0000  10 Te 3.69-4.03, 8 Ag 3.69
Te 0.6391 0.6391 0.0000  1 Te 2.84, 4 Ag 2.90
Te 0.3609 0.3609 0.0000  1 Te 2.84, 4 Ag 2.90

magnetic moment: 0.00 μB/cell

---

Arrangement ii

# Ag2HgTe2

An optimized crystal structure of Ag2HgTe2 (GGA-PBE, Alexandria).

a b c (Å): 9.0831 9.0831 3.1506
angles (deg): 90.00 90.00 90.00
Closest atoms and distances in Å follow each position.
Fractional coordinates of all 10 atoms:
Te 0.3430 0.8430 0.0000  6 Ag 3.03-3.14, 2 Te 3.15
Te 0.8430 0.6570 0.0000  6 Ag 3.03-3.14, 2 Te 3.15
Te 0.6570 0.1570 0.0000  6 Ag 3.03-3.14, 2 Te 3.15
Te 0.1570 0.3430 0.0000  6 Ag 3.03-3.14, 2 Te 3.15
Hg 0.0000 0.0000 0.0000  2 Hg 3.15, 4 Te 3.43
Hg 0.5000 0.5000 0.0000  2 Hg 3.15, 4 Te 3.43
Ag 0.1411 0.6411 0.5000  6 Te 3.03-3.14, 2 Ag 3.15
Ag 0.6411 0.8589 0.5000  6 Te 3.03-3.14, 2 Ag 3.15
Ag 0.8589 0.3589 0.5000  6 Te 3.03-3.14, 2 Ag 3.15
Ag 0.3589 0.1411 0.5000  6 Te 3.03-3.14, 2 Ag 3.15

magnetic moment: 0.00 μB/cell

---

Arrangement iii

# Ag2HgTe2

An optimized crystal structure of Ag2HgTe2 (GGA-PBE, Alexandria).

a b c (Å): 4.1493 4.1493 8.4045
angles (deg): 75.71 75.71 90.00
Closest atoms and distances in Å follow each position.
Fractional coordinates of all 5 atoms:
Te 0.3754 0.3754 0.2492  4 Ag 2.86
Te 0.6246 0.6246 0.7508  4 Ag 2.86
Hg 0.0000 0.0000 0.0000  8 Te 3.53
Ag 0.7500 0.2500 0.5000  4 Te 2.86, 4 Ag 2.93
Ag 0.2500 0.7500 0.5000  4 Te 2.86, 4 Ag 2.93

magnetic moment: 0.00 μB/cell

---

Energy ordering: arrangement i at the bottom, the next structure 10 meV per atom above.

---

Arrangement i

# Ag2HgTe2

An optimized crystal structure of Ag2HgTe2 (GGA-PBE, Alexandria).

a b c (Å): 4.8272 8.8456 10.3491
angles (deg): 120.18 84.29 121.88
Closest atoms and distances in Å follow each position.
Fractional coordinates of all 10 atoms:
Ag 0.5081 0.1908 0.6335  3 Te 2.80-3.04, 3 Ag 2.86-3.07
Ag 0.4919 0.8092 0.3665  3 Te 2.80-3.04, 3 Ag 2.86-3.07
Ag 0.8654 0.0655 0.7148  3 Te 2.84-2.97, 2 Ag 2.86-2.89
Ag 0.1346 0.9345 0.2852  3 Te 2.84-2.97, 2 Ag 2.86-2.89
Hg 0.4790 0.6984 0.8863  2 Te 2.72
Hg 0.5209 0.3016 0.1137  2 Te 2.72
Te 0.1736 0.3515 0.5973  1 Hg 2.72, 3 Ag 2.80-2.97
Te 0.8264 0.6485 0.4027  1 Hg 2.72, 3 Ag 2.80-2.97
Te 0.7411 0.0227 0.1848  1 Hg 2.72, 3 Ag 2.84-3.04
Te 0.2589 0.9773 0.8152  1 Hg 2.72, 3 Ag 2.84-3.04

magnetic moment: 0.00 μB/cell

---

Arrangement ii

# Ag2HgTe2

An optimized crystal structure of Ag2HgTe2 (GGA-PBE, Alexandria).

a b c (Å): 4.4548 4.4548 7.6162
angles (deg): 73.00 73.00 90.00
Closest atoms and distances in Å follow each position.
Fractional coordinates of all 5 atoms:
Te 0.7500 0.2500 0.5000  4 Ag 3.07, 4 Te 3.15
Te 0.2500 0.7500 0.5000  4 Ag 3.07, 4 Te 3.15
Hg 0.0000 0.0000 0.0000  8 Ag 3.43
Ag 0.4022 0.4022 0.1956  1 Ag 2.71
Ag 0.5978 0.5978 0.8044  1 Ag 2.71

magnetic moment: 0.00 μB/cell

---

Energy ordering: arrangement i at the bottom, the next structure 298 meV per atom above.

---

Arrangement i

# TlAgHgTe

An optimized crystal structure of TlAgHgTe (GGA-PBE, Alexandria).

a b c (Å): 5.3773 5.3773 5.3773
angles (deg): 60.00 60.00 60.00
Closest atoms and distances in Å follow each position.
Fractional coordinates of all 4 atoms:
Tl 0.0000 0.0000 0.0000  4 Hg 3.29, 4 Te 3.29
Te 0.2500 0.2500 0.2500  4 Tl 3.29, 4 Ag 3.29
Hg 0.7500 0.7500 0.7500  4 Tl 3.29, 4 Ag 3.29
Ag 0.5000 0.5000 0.5000  4 Te 3.29, 4 Hg 3.29

magnetic moment: 0.00 μB/cell

---

Arrangement ii

# TlAgHgTe

An optimized crystal structure of TlAgHgTe (GGA-PBE, Alexandria).

a b c (Å): 4.7262 4.7262 13.6888
angles (deg): 80.06 80.06 60.00
Closest atoms and distances in Å follow each position.
Fractional coordinates of all 8 atoms:
Tl 0.5924 0.5924 0.2229  3 Te 3.24, 3 Hg 3.44
Tl 0.4076 0.4076 0.7771  3 Te 3.24, 3 Hg 3.44
Ag 0.8114 0.8114 0.5659  4 Te 2.86-2.94
Ag 0.1886 0.1886 0.4341  4 Te 2.86-2.94
Hg 0.6889 0.6889 0.9334  3 Hg 3.26, 3 Tl 3.44
Hg 0.3111 0.3111 0.0666  3 Hg 3.26, 3 Tl 3.44
Te 0.1175 0.1175 0.6474  4 Ag 2.86-2.94
Te 0.8825 0.8825 0.3526  4 Ag 2.86-2.94

magnetic moment: 0.00 μB/cell

---

Energy ordering: arrangement ii at the bottom, the next structure 110 meV per atom above.